(1)
The following is a GGA-PBEsol calculation of a geometry-optimized LaIr2Ru structure, from the Alexandria database.

- D(E_F): 5.460 states/eV/f.u.
- SG: Pmmm, No. 47
- Final energy: -35.016 eV per cell
- Energy above the most stable polymorph in this dataset: 0 meV per atom
- ΔE_f: 3.6 kJ/mol of atoms

abc: 2.797 3.688 6.812
angles: 90.00 90.00 90.00
Fractional coordinates of all 4 atoms:
La  0.000  0.000  0.000
Ir  0.500  0.500  0.308
Ir  0.500  0.500  0.692
Ru  0.000  0.000  0.500

***

(2)
The following is a GGA-PBEsol calculation of a geometry-optimized Tb16B4Br23 structure, from the Alexandria database.

- D(E_F): 14.979 states/eV/f.u.
- SG: C2/m, No. 12
- Final energy: -215.859 eV per cell

abc: 10.550 10.550 11.864
angles: 101.60 101.60 68.74
Fractional coordinates of all 43 atoms:
Tb  0.187  0.187  0.227
Tb  0.189  0.487  0.126
Tb  0.189  0.807  0.652
Tb  0.193  0.811  0.348
Tb  0.199  0.500  0.438
Tb  0.487  0.189  0.126
Tb  0.495  0.495  0.349
Tb  0.500  0.199  0.438
Tb  0.500  0.801  0.562
Tb  0.505  0.505  0.651
Tb  0.513  0.811  0.874
Tb  0.801  0.500  0.562
Tb  0.807  0.189  0.652
Tb  0.811  0.193  0.348
Tb  0.811  0.513  0.874
Tb  0.813  0.813  0.773
B  0.331  0.669  0.500
B  0.334  0.334  0.273
B  0.666  0.666  0.727
B  0.669  0.331  0.500
Br  0.000  0.000  0.500
Br  0.002  0.327  0.724
Br  0.002  0.660  0.943
Br  0.003  0.340  0.395
Br  0.011  0.011  0.187
Br  0.327  0.002  0.724
Br  0.330  0.660  0.837
Br  0.331  0.331  0.616
Br  0.335  0.335  0.945
Br  0.340  0.003  0.395
Br  0.340  0.670  0.163
Br  0.340  0.998  0.057
Br  0.660  0.002  0.943
Br  0.660  0.330  0.837
Br  0.660  0.997  0.605
Br  0.665  0.665  0.055
Br  0.669  0.669  0.384
Br  0.670  0.340  0.163
Br  0.673  0.998  0.276
Br  0.989  0.989  0.813
Br  0.997  0.660  0.605
Br  0.998  0.340  0.057
Br  0.998  0.673  0.276

***

(3)
The following is a GGA-PBEsol calculation of a geometry-optimized TlSbTe2 structure, from the Alexandria database.

- D(E_F): 0.012 states/eV/f.u.
- SG: R-3m, No. 166
- Final energy: -15.048 eV per cell
- Energy above the most stable polymorph in this dataset: 0 meV per atom

abc: 8.067 8.067 8.067
angles: 31.76 31.76 31.76
Fractional coordinates of all 4 atoms:
Tl  0.000  0.000  0.000
Sb  0.500  0.500  0.500
Te  0.241  0.241  0.241
Te  0.759  0.759  0.759

***

(4)
The following is a GGA-PBEsol calculation of a geometry-optimized NiW2Au structure, from the Alexandria database.

- D(E_F): 3.615 states/eV/f.u.
- SG: R3m, No. 160
- Final energy: -36.529 eV per cell
- Energy above the most stable polymorph in this dataset: 30 meV per atom
- ΔE_f: 28.2 kJ/mol of atoms

abc: 9.117 9.117 9.117
angles: 17.45 17.45 17.45
Fractional coordinates of all 4 atoms:
Ni  0.000  0.000  0.000
W  0.497  0.497  0.497
W  0.741  0.741  0.741
Au  0.252  0.252  0.252

***

(5)
The following is a GGA-PBEsol calculation of a geometry-optimized TaSiIr2 structure, from the Alexandria database.

- D(E_F): 1.843 states/eV/f.u.
- SG: I-42d, No. 122
- Final energy: -74.434 eV per cell

abc: 6.811 6.811 6.811
angles: 132.94 132.94 68.75
Fractional coordinates of all 8 atoms:
Ta  0.000  0.000  0.000
Ta  0.750  0.250  0.500
Si  0.250  0.750  0.500
Si  0.500  0.500  0.000
Ir  0.154  0.625  0.029
Ir  0.375  0.404  0.529
Ir  0.596  0.125  0.971
Ir  0.875  0.846  0.471

***

(6)
The following is a GGA-PBEsol calculation of a geometry-optimized TaMn structure, from the Alexandria database.

- D(E_F): 1.744 states/eV/f.u.
- SG: P6_3/mmc, No. 194
- Final energy: -43.594 eV per cell
- ΔE_f: 24.9 kJ/mol of atoms

abc: 2.980 2.980 7.541
angles: 90.00 90.00 120.00
Fractional coordinates of all 4 atoms:
Ta  0.000  0.000  0.000
Ta  0.000  0.000  0.500
Mn  0.333  0.667  0.250
Mn  0.667  0.333  0.750

***

(7)
The following is a GGA-PBEsol calculation of a geometry-optimized LaAsOs2 structure, from the Alexandria database.

- D(E_F): 4.623 states/eV/f.u.
- SG: Pmmm, No. 47
- Final energy: -32.921 eV per cell
- ΔE_f: 47.4 kJ/mol of atoms

abc: 3.056 4.835 4.843
angles: 90.00 90.00 90.00
Fractional coordinates of all 4 atoms:
La  0.000  0.000  0.000
As  0.500  0.000  0.500
Os  0.000  0.500  0.500
Os  0.500  0.500  0.000

***

(8)
The following is a GGA-PBEsol calculation of a geometry-optimized Cu3Sn4PbO12 structure, from the Alexandria database.

- SG: Im-3, No. 204
- Final energy: -121.916 eV per cell

abc: 6.681 6.681 6.681
angles: 109.47 109.47 109.47
Fractional coordinates of all 20 atoms:
Cu  0.000  0.500  0.500
Cu  0.500  0.000  0.500
Cu  0.500  0.500  0.000
Sn  0.000  0.000  0.500
Sn  0.000  0.500  0.000
Sn  0.500  0.000  0.000
Sn  0.500  0.500  0.500
Pb  0.000  0.000  0.000
O  0.141  0.827  0.313
O  0.173  0.313  0.486
O  0.173  0.687  0.859
O  0.313  0.141  0.827
O  0.313  0.486  0.173
O  0.486  0.173  0.313
O  0.514  0.827  0.687
O  0.687  0.514  0.827
O  0.687  0.859  0.173
O  0.827  0.313  0.141
O  0.827  0.687  0.514
O  0.859  0.173  0.687

***

Q: Which of these has the highest final energy?
A: TlSbTe2

***

Q: Number 4 is which compound?
A: NiW2Au

***

What did the fourth record say?
The following is a GGA-PBEsol calculation of a geometry-optimized NiW2Au structure, from the Alexandria database.

- D(E_F): 3.615 states/eV/f.u.
- SG: R3m, No. 160
- Final energy: -36.529 eV per cell
- Energy above the most stable polymorph in this dataset: 30 meV per atom
- ΔE_f: 28.2 kJ/mol of atoms

abc: 9.117 9.117 9.117
angles: 17.45 17.45 17.45
Fractional coordinates of all 4 atoms:
Ni  0.000  0.000  0.000
W  0.497  0.497  0.497
W  0.741  0.741  0.741
Au  0.252  0.252  0.252